No. 1
Below is a relaxed Tl2CdCu2Br6 crystal, with properties calculated at the GGA-PBE level.

CIF file:
```
data_Tl2CdCu2Br6
_space_group_name_H-M_alt 'C 1 2/m 1'
_space_group_IT_number 12
_cell_length_a 13.665
_cell_length_b 7.633
_cell_length_c 7.771
_cell_angle_alpha 90.00
_cell_angle_beta 121.75
_cell_angle_gamma 90.00
loop_
_space_group_symop_operation_xyz
'x,y,z'
'-x,-y,-z'
'-x,y,-z'
'x,-y,z'
'x+1/2,y+1/2,z'
'-x+1/2,-y+1/2,-z'
'-x+1/2,y+1/2,-z'
'x+1/2,-y+1/2,z'
loop_
_atom_site_label
_atom_site_type_symbol
_atom_site_fract_x
_atom_site_fract_y
_atom_site_fract_z
_atom_site_occupancy
Tl1 Tl 0.240 0.000 0.212 1
Cd1 Cd 0.000 0.000 0.500 1
Cu1 Cu 0.053 0.500 0.208 1
Br1 Br 0.055 0.248 0.803 1
Br2 Br 0.245 0.000 0.647 1
```

Values from the calculation:
The value obtained for the raw formation energy is -601 meV per atom. Its volume is 31.3 A^3/atom. As for the energy: -30.49 eV/f.u.

***

No. 2
Below is a relaxed Tl2CdCuBr5 crystal, with properties calculated at the GGA-PBE level.

CIF file:
```
data_Tl2CdCuBr5
_space_group_name_H-M_alt 'C m c 21'
_space_group_IT_number 36
_cell_length_a 4.217
_cell_length_b 19.544
_cell_length_c 13.943
_cell_angle_alpha 90.00
_cell_angle_beta 90.00
_cell_angle_gamma 90.00
loop_
_space_group_symop_operation_xyz
'x,y,z'
'-x,-y,z+1/2'
'-x,y,z'
'x,-y,z+1/2'
'x+1/2,y+1/2,z'
'-x+1/2,-y+1/2,z+1/2'
'-x+1/2,y+1/2,z'
'x+1/2,-y+1/2,z+1/2'
loop_
_atom_site_label
_atom_site_type_symbol
_atom_site_fract_x
_atom_site_fract_y
_atom_site_fract_z
_atom_site_occupancy
Tl1 Tl 0.000 0.117 0.000 1
Tl2 Tl 0.000 0.126 0.628 1
Cd1 Cd 0.000 0.207 0.326 1
Cu1 Cu 0.000 0.441 0.731 1
Br1 Br 0.000 0.063 0.324 1
Br2 Br 0.000 0.292 0.963 1
Br3 Br 0.000 0.305 0.685 1
Br4 Br 0.000 0.348 0.316 1
Br5 Br 0.000 0.499 0.082 1
```

Values from the calculation:
The value obtained for the raw formation energy is -723 meV per atom. Its volume is 31.9 A^3/atom. As for the energy: -24.62 eV/f.u.

***

No. 3
Below is a relaxed Tl3CdCu2Br8 crystal, with properties calculated at the GGA-PBE level.

CIF file:
```
data_Tl3CdCu2Br8
_space_group_name_H-M_alt 'P -3 m 1'
_space_group_IT_number 164
_space_group_name_Hall '-P 3 2"'
_cell_length_a 7.6356
_cell_length_b 7.6356
_cell_length_c 9.3348
_cell_angle_alpha 90.00
_cell_angle_beta 90.00
_cell_angle_gamma 120.00
loop_
_atom_site_label
_atom_site_type_symbol
_atom_site_fract_x
_atom_site_fract_y
_atom_site_fract_z
_atom_site_occupancy
Tl1 Tl 0.0000 0.0000 0.0000 1
Tl2 Tl 0.3333 0.6667 0.6188 1
Cd1 Cd 0.0000 0.0000 0.5000 1
Cu1 Cu 0.3333 0.6667 0.2005 1
Br1 Br 0.1647 0.3294 0.3119 1
Br2 Br 0.3333 0.6667 0.9516 1
```

Values from the calculation:
The value obtained for the raw formation energy is -593 meV per atom. Its volume is 33.7 A^3/atom. As for the energy: -37.89 eV/f.u.

***

No. 4
Below is a relaxed YCdCu2Br crystal, with properties calculated at the GGA-PBE level.

CIF file:
```
data_YCdCu2Br
_space_group_name_H-M_alt 'P 4/m m m'
_space_group_IT_number 123
_space_group_name_Hall '-P 4 2'
_cell_length_a 4.815
_cell_length_b 4.815
_cell_length_c 5.816
_cell_angle_alpha 90.00
_cell_angle_beta 90.00
_cell_angle_gamma 90.00
loop_
_atom_site_label
_atom_site_type_symbol
_atom_site_fract_x
_atom_site_fract_y
_atom_site_fract_z
_atom_site_occupancy
Y1 Y 0.000 0.000 0.000 1
Cd1 Cd 0.000 0.000 0.500 1
Cu1 Cu 0.000 0.500 0.500 1
Br1 Br 0.500 0.500 0.000 1
```

Values from the calculation:
The value obtained for the raw formation energy is 308 meV per atom. Its volume is 27.0 A^3/atom. As for the energy: -15.70 eV/f.u.

***

No. 5
Below is a relaxed DyCdBr6 crystal, with properties calculated at the GGA-PBE level.

CIF file:
```
data_DyCdBr6
_space_group_name_H-M_alt 'P -1'
_space_group_IT_number 2
_cell_length_a 6.974
_cell_length_b 6.977
_cell_length_c 7.366
_cell_angle_alpha 89.93
_cell_angle_beta 62.01
_cell_angle_gamma 60.03
loop_
_space_group_symop_operation_xyz
'x,y,z'
'-x,-y,-z'
loop_
_atom_site_label
_atom_site_type_symbol
_atom_site_fract_x
_atom_site_fract_y
_atom_site_fract_z
_atom_site_occupancy
Dy1 Dy 0.000 0.000 0.000 1
Cd1 Cd 0.000 0.500 0.500 1
Br1 Br 0.173 0.577 0.752 1
Br2 Br 0.173 0.752 0.252 1
Br3 Br 0.499 0.923 0.750 1
```

Values from the calculation:
The value obtained for the raw formation energy is -1090 meV per atom. Its volume is 32.6 A^3/atom. As for the energy: -24.28 eV/f.u.

***

No. 6
Below is a relaxed Dy2CdBr crystal, with properties calculated at the GGA-PBE level.

CIF file:
```
data_Dy2CdBr
_space_group_name_H-M_alt 'R -3 m'
_space_group_IT_number 166
_space_group_name_Hall '-R 3 2"'
_cell_length_a 3.4895
_cell_length_b 3.4895
_cell_length_c 33.2925
_cell_angle_alpha 90.00
_cell_angle_beta 90.00
_cell_angle_gamma 120.00
loop_
_atom_site_label
_atom_site_type_symbol
_atom_site_fract_x
_atom_site_fract_y
_atom_site_fract_z
_atom_site_occupancy
Dy1 Dy 0.0000 0.0000 0.0955 1
Cd1 Cd 0.0000 0.0000 0.0000 1
Br1 Br 0.0000 0.0000 0.5000 1
```

Values from the calculation:
The value obtained for the raw formation energy is -268 meV per atom. Its volume is 29.3 A^3/atom. As for the energy: -12.87 eV/f.u.

***

No. 7
Below is a relaxed DyCdInBr6 crystal, with properties calculated at the GGA-PBE level.

CIF file:
```
data_DyCdInBr6
_space_group_name_H-M_alt 'P -3 1 c'
_space_group_IT_number 163
_space_group_name_Hall '-P 3 2c'
_cell_length_a 7.2773
_cell_length_b 7.2773
_cell_length_c 14.4749
_cell_angle_alpha 90.00
_cell_angle_beta 90.00
_cell_angle_gamma 120.00
loop_
_atom_site_label
_atom_site_type_symbol
_atom_site_fract_x
_atom_site_fract_y
_atom_site_fract_z
_atom_site_occupancy
Dy1 Dy 0.3333 0.6667 0.2500 1
Cd1 Cd 0.3333 0.6667 0.7500 1
In1 In 0.0000 0.0000 0.0000 1
Br1 Br 0.9995 0.3683 0.6379 1
```

Values from the calculation:
The value obtained for the raw formation energy is -1264 meV per atom. Its volume is 36.9 A^3/atom. As for the energy: -29.67 eV/f.u.

***

No. 8
Below is a relaxed LiDyCdBr6 crystal, with properties calculated at the GGA-PBE level.

CIF file:
```
data_LiDyCdBr6
_space_group_name_H-M_alt 'P -3 1 c'
_space_group_IT_number 163
_space_group_name_Hall '-P 3 2c'
_cell_length_a 7.0219
_cell_length_b 7.0219
_cell_length_c 12.8214
_cell_angle_alpha 90.00
_cell_angle_beta 90.00
_cell_angle_gamma 120.00
loop_
_atom_site_label
_atom_site_type_symbol
_atom_site_fract_x
_atom_site_fract_y
_atom_site_fract_z
_atom_site_occupancy
Li1 Li 0.0000 0.0000 0.0000 1
Dy1 Dy 0.3333 0.6667 0.2500 1
Cd1 Cd 0.3333 0.6667 0.7500 1
Br1 Br 0.0008 0.3400 0.1251 1
```

Values from the calculation:
The value obtained for the raw formation energy is -1418 meV per atom. Its volume is 30.4 A^3/atom. As for the energy: -30.23 eV/f.u.

***

No. 9
Below is a relaxed Rb2DyCdBr6 crystal, with properties calculated at the GGA-PBE level.

CIF file:
```
data_Rb2DyCdBr6
_space_group_name_H-M_alt 'P m m n'
_space_group_IT_number 59
_cell_length_a 8.345
_cell_length_b 11.645
_cell_length_c 8.131
_cell_angle_alpha 90.00
_cell_angle_beta 90.00
_cell_angle_gamma 90.00
loop_
_space_group_symop_operation_xyz
'x,y,z'
'-x,-y,-z'
'-x+1/2,-y+1/2,z'
'x+1/2,y+1/2,-z'
'x+1/2,-y,-z'
'-x+1/2,y,z'
'-x,y+1/2,-z'
'x,-y+1/2,z'
loop_
_atom_site_label
_atom_site_type_symbol
_atom_site_fract_x
_atom_site_fract_y
_atom_site_fract_z
_atom_site_occupancy
Rb1 Rb 0.250 0.024 0.238 1
Dy1 Dy 0.250 0.250 0.746 1
Cd1 Cd 0.250 0.750 0.750 1
Br1 Br 0.013 0.250 0.991 1
Br2 Br 0.018 0.250 0.498 1
Br3 Br 0.250 0.010 0.755 1
```

Values from the calculation:
The value obtained for the raw formation energy is -1485 meV per atom. Its volume is 39.5 A^3/atom. As for the energy: -32.34 eV/f.u.

***

No. 10
Below is a relaxed RbDyCd2Br8 crystal, with properties calculated at the GGA-PBE level.

CIF file:
```
data_RbDyCd2Br8
_space_group_name_H-M_alt 'P -1'
_space_group_IT_number 2
_cell_length_a 6.979
_cell_length_b 6.984
_cell_length_c 9.700
_cell_angle_alpha 77.65
_cell_angle_beta 79.02
_cell_angle_gamma 77.98
loop_
_space_group_symop_operation_xyz
'x,y,z'
'-x,-y,-z'
loop_
_atom_site_label
_atom_site_type_symbol
_atom_site_fract_x
_atom_site_fract_y
_atom_site_fract_z
_atom_site_occupancy
Rb1 Rb 0.000 0.000 0.000 1
Dy1 Dy 0.000 0.000 0.500 1
Cd1 Cd 0.451 0.438 0.220 1
Br1 Br 0.170 0.727 0.723 1
Br2 Br 0.241 0.799 0.289 1
Br3 Br 0.283 0.243 0.474 1
Br4 Br 0.354 0.303 0.012 1
```

Values from the calculation:
The value obtained for the raw formation energy is -1300 meV per atom. Its volume is 37.2 A^3/atom. As for the energy: -36.38 eV/f.u.